Entry from the Alexandria database: a geometry-optimized PmMn3B4O12 structure (PBE with a Hubbard U).

Lattice parameters (Å, degrees): 9.7081 9.7081 7.8202 90.00 90.00 120.00
Space group R32 (No. 155, hexagonal axes)
Asymmetric unit:
1 Pm 0.0000 0.0000 0.0000 [3 per cell]
2 Mn 0.0000 0.5472 0.0000 [9 per cell]
3 B 0.0000 0.0000 0.5000 [3 per cell]
4 B 0.0000 0.4501 0.5000 [9 per cell]
5 O 0.0000 0.5941 0.5000 [9 per cell]
6 O 0.0000 0.8572 0.5000 [9 per cell]
7 O 0.0197 0.2079 0.1833 [18 per cell]

Summary:
Energy: -7.90 eV per atom